# 1
# InAgRu2

Crystalline InAgRu2 at its relaxed geometry (PBE, Alexandria via LeMat-Bulk).

Summary:
total magnetic moment = 0.40 μB/atom
E_form = 0.56 eV/atom
volume = 16.81 A^3/atom

Lattice parameters (Å, degrees): 3.038 4.766 9.290 90.00 90.00 90.00
Space group Cmmm (No. 65)
Inequivalent atoms, fractional coordinates:
In 0.000 0.000 0.000 (multiplicity 2)
Ag 0.000 0.000 0.500 (multiplicity 2)
Ru 0.000 0.500 0.245 (multiplicity 4)

---

# 2
# InAgRu2

Crystalline InAgRu2 at its relaxed geometry (PBE, Alexandria via LeMat-Bulk).

Summary:
total magnetic moment = 0.61 μB/atom
E_form = 0.47 eV/atom
volume = 16.67 A^3/atom

Lattice parameters (Å, degrees): 5.602 8.130 2.929 90.00 90.00 90.00
Space group Cmmm (No. 65)
Inequivalent atoms, fractional coordinates:
In 0.000 0.000 0.000 (multiplicity 2)
Ag 0.000 0.500 0.000 (multiplicity 2)
Ru 0.250 0.250 0.500 (multiplicity 4)

---

Question: Number 2 is which compound?
Answer: InAgRu2

---

Question: Which of these has the lowest total magnetic moment?
Answer: number 1

---

Question: The lowest volume belongs to which entry?
Answer: number 2

---

Please write out number 2 again, unchanged.
# InAgRu2

Crystalline InAgRu2 at its relaxed geometry (PBE, Alexandria via LeMat-Bulk).

Summary:
total magnetic moment = 0.61 μB/atom
E_form = 0.47 eV/atom
volume = 16.67 A^3/atom

Lattice parameters (Å, degrees): 5.602 8.130 2.929 90.00 90.00 90.00
Space group Cmmm (No. 65)
Inequivalent atoms, fractional coordinates:
In 0.000 0.000 0.000 (multiplicity 2)
Ag 0.000 0.500 0.000 (multiplicity 2)
Ru 0.250 0.250 0.500 (multiplicity 4)